The following is a PBE calculation of a relaxed Pu3Si crystal, from Alexandria.

Values from the calculation:
Space group = No. 44
Formation energy from raw total energies = 0.74 eV/f.u.
Volume = 66.0 Å³/cell

Cell lengths 5.794, 5.794, 5.794 Å; angles 156.37, 63.96, 121.53 degrees
Element x y z (fractional)
Pu (0.000, 0.000, 0.000)
Pu (0.035, 0.272, 0.764)
Pu (0.508, 0.272, 0.236)
Si (0.504, 0.004, 0.500)